Entry 1:
ZrNb | Alexandria | GGA-PBE | relaxed; DFT formation energy = 11 kJ/mol of formula units; crystal system = monoclinic
1.0
3.0452 0.0000 -0.2120
0.0000 4.7018 0.0000
-1.4997 0.0000 5.8281
Zr Nb
2 2
Direct
0.2974 0.2500 0.6357
0.7026 0.7500 0.3643
0.7977 0.7500 0.8895
0.2023 0.2500 0.1105

Entry 2:
BTeAs3 | Alexandria | GGA-PBE | relaxed; crystal system = cubic; formation energy from raw total energies = 1.9232 eV/atom; ΔE to the lowest computed polymorph = 1199 meV per atom
1.0
-3.0692 -0.2255 4.3665
-0.6993 -5.2409 -0.7623
4.3160 -1.0096 2.9816
As B Te
3 1 1
Direct
0.5000 0.0000 0.0000
0.0000 0.5000 0.0000
0.0000 0.0000 0.5000
0.5000 0.5000 0.5000
0.0000 0.0000 0.0000

Entry 3:
RbAsO3 | Alexandria | GGA-PBE | relaxed; crystal system = monoclinic; formation energy from raw total energies = -1.5066 eV/atom
1.0
7.5867 -0.0011 2.5429
3.3344 6.8146 2.5429
-0.1700 -0.1060 12.5394
O As Rb
18 6 6
Direct
0.4606 0.2890 0.6190
0.0389 0.8765 0.8759
0.1235 0.9611 0.6241
0.6246 0.3754 0.7500
0.2039 0.3762 0.3712
0.5825 0.2109 0.2477
0.8765 0.0389 0.3759
0.7110 0.5394 0.8810
0.7891 0.4175 0.2523
0.2109 0.5825 0.7477
0.7961 0.6238 0.6288
0.5394 0.7110 0.3810
0.3762 0.2039 0.8712
0.4175 0.7891 0.7523
0.6238 0.7961 0.1288
0.2890 0.4606 0.1190
0.3754 0.6246 0.2500
0.9611 0.1235 0.1241
0.1777 0.8223 0.7500
0.4183 0.3424 0.7461
0.8223 0.1777 0.2500
0.3424 0.4183 0.2461
0.6576 0.5817 0.7539
0.5817 0.6576 0.2539
0.3203 0.8606 0.0011
0.6797 0.1394 0.9989
0.5000 0.0000 0.5000
0.0000 0.5000 0.0000
0.8606 0.3203 0.5011
0.1394 0.6797 0.4989

Entry 4:
MgCdRh2 | Alexandria | GGA-PBE | relaxed; DFT formation energy = -68 kJ/mol of formula units; crystal system = tetragonal
1.0
4.9609 0.0364 0.0000
1.7179 4.6541 0.0000
-3.3394 -2.3452 2.8213
Rh Cd Mg
2 1 1
Direct
0.2500 0.7500 0.5000
0.0000 0.0000 0.0000
0.5000 0.5000 0.0000
0.7500 0.2500 0.5000

Entry 5:
CsLiMn2Hg | Alexandria | GGA-PBE | relaxed; DFT formation energy = 435 kJ/mol of formula units; crystal system = tetragonal
1.0
5.3236 0.0000 0.0000
0.0000 6.6853 0.0000
0.0000 0.0000 5.3236
Mn Cs Li Hg
2 1 1 1
Direct
0.0000 0.0000 0.5000
0.5000 0.0000 0.0000
0.0000 0.5000 0.0000
0.5000 0.5000 0.5000
0.0000 0.0000 0.0000

Entry 6:
Y2Th2Zn | Alexandria | GGA-PBE | relaxed; DFT formation energy = -64 kJ/mol of formula units; crystal system = tetragonal
1.0
3.5275 0.0000 -0.5660
-0.0908 3.5263 -0.5660
0.0273 0.0280 11.4458
Th Y Zn
2 2 1
Direct
0.1950 0.1950 0.3901
0.8050 0.8050 0.6099
0.4182 0.4182 0.8364
0.5818 0.5818 0.1636
0.0000 0.0000 0.0000

Entry 7:
CuTeIr2 | Alexandria | GGA-PBE | relaxed; crystal system = tetragonal; formation energy from raw total energies = 0.4282 eV/atom
1.0
3.5054 0.0000 0.0000
0.0000 3.5054 0.0000
0.0000 0.0000 5.3692
Ir Te Cu
2 1 1
Direct
0.5000 0.5000 0.2695
0.0000 0.0000 0.9651
0.0000 0.0000 0.4717
0.5000 0.5000 0.7938

Entry 8:
RbBaSr2Pd | Alexandria | GGA-PBE | relaxed; DFT formation energy = -33 kJ/mol of formula units; crystal system = tetragonal; ΔE to the lowest computed polymorph = 154 meV per atom
1.0
6.0959 0.0000 0.0000
0.0000 6.0959 0.0000
0.0000 0.0000 6.7885
Sr Pd Ba Rb
2 1 1 1
Direct
0.5000 0.0000 0.0000
0.0000 0.5000 0.0000
0.0000 0.0000 0.0000
0.5000 0.5000 0.5000
0.0000 0.0000 0.5000

Entry 9:
BaCrPt | Alexandria | GGA-PBE | relaxed; DFT formation energy = -33 kJ/mol of formula units; crystal system = monoclinic; ΔE to the lowest computed polymorph = 48 meV per atom
1.0
-0.2972 2.7992 -5.8958
-1.8926 -3.8880 -0.1653
-4.5050 4.5884 0.3807
Ba Cr Pt
2 2 2
Direct
0.7137 0.7220 0.2145
0.2970 0.8650 0.9158
0.2987 0.1537 0.4923
0.9076 0.0517 0.6786
0.1175 0.5308 0.4278
0.6611 0.4088 0.6394

Entry 10:
AcThPdS4 | Alexandria | GGA-PBE | relaxed; crystal system = monoclinic; formation energy from raw total energies = -1.5928 eV/atom
1.0
-4.8149 1.5314 -4.7607
-2.7105 -5.0239 1.1253
-2.4391 2.9812 7.4345
S Ac Pd Th
8 2 2 2
Direct
0.5576 0.2500 0.8844
0.9662 0.0175 0.2672
0.5676 0.2500 0.4015
0.0338 0.5175 0.7328
0.4324 0.7500 0.5985
0.9662 0.4825 0.2672
0.4424 0.7500 0.1156
0.0338 0.9825 0.7328
0.7424 0.7500 0.9409
0.2576 0.2500 0.0591
0.2332 0.7500 0.2914
0.7668 0.2500 0.7086
0.2655 0.2500 0.5594
0.7345 0.7500 0.4406

Entry 11:
Sm8Y6Ho | Alexandria | GGA-PBE | relaxed; DFT formation energy = 168 kJ/mol of formula units; crystal system = trigonal; ΔE to the lowest computed polymorph = 0 meV per atom
1.0
-4.0004 4.1025 -7.1097
3.8848 -0.3574 -8.2560
-3.5381 -4.5807 -6.5163
Y Sm Ho
6 8 1
Direct
0.0991 0.2431 0.1185
0.4607 0.9009 0.8815
0.7569 0.4607 0.8815
0.9009 0.7569 0.8815
0.2431 0.5393 0.1185
0.5393 0.0991 0.1185
0.1119 0.7493 0.4206
0.2507 0.2818 0.5794
0.5770 0.5770 0.2691
0.7493 0.7182 0.4206
0.8881 0.2507 0.5794
0.7182 0.1119 0.4206
0.4230 0.4230 0.7309
0.2818 0.8881 0.5794
0.0000 0.0000 0.0000

Entry 12:
YGa4Ni2Os | Alexandria | GGA-PBE | relaxed; DFT formation energy = -269 kJ/mol of formula units; crystal system = trigonal
1.0
4.1173 0.0000 0.0000
2.0586 3.5657 0.0000
2.0586 1.1886 8.8187
Y Ga Os Ni
1 4 1 2
Direct
0.0000 0.0000 0.0000
0.4014 0.4014 0.7958
0.5986 0.5986 0.2042
0.8703 0.8703 0.3891
0.1297 0.1297 0.6109
0.5000 0.5000 0.5000
0.2328 0.2328 0.3017
0.7672 0.7672 0.6983